Record 1
! La3ZnCu | the Alexandria database | PBE | relaxed; values from VASP
! * ΔE to the lowest computed polymorph: 399 meV/atom
! * ΔH_f (0 K): 22.34 kJ per mole of atoms
! * volume: 172 Å³ per cell
! * total magnetic moment: 2.7 μB per cell
&SYSTEM
  ibrav = 0, nat = 5, ntyp = 3
/
ATOMIC_SPECIES
La 138.91 La.upf
Zn 65.41 Zn.upf
Cu 63.55 Cu.upf
CELL_PARAMETERS angstrom
5.565 0.000 0.000
0.000 5.565 0.000
0.000 0.000 5.565
ATOMIC_POSITIONS angstrom
La 0.000 0.000 2.783
La 0.000 2.783 0.000
La 2.783 0.000 0.000
Zn 2.783 2.783 2.783
Cu 0.000 0.000 0.000

Record 2
! LaZn3Cu | the Alexandria database | PBE | relaxed; values from VASP
! * ΔE to the lowest computed polymorph: 0 meV/atom
! * ΔH_f (0 K): -27.19 kJ per mole of atoms
! * volume: 193 Å³ per cell
! * total magnetic moment: 0.0 μB per cell
&SYSTEM
  ibrav = 0, nat = 10, ntyp = 3
/
ATOMIC_SPECIES
La 138.91 La.upf
Zn 65.41 Zn.upf
Cu 63.55 Cu.upf
CELL_PARAMETERS angstrom
2.973 -5.282 0.000
2.973 5.282 0.000
0.000 0.000 6.143
ATOMIC_POSITIONS angstrom
La 2.973 2.794 4.607
La 2.973 -2.794 1.536
Zn 2.973 4.009 1.536
Zn 1.667 0.000 0.000
Zn 1.667 0.000 3.071
Zn 4.278 0.000 0.000
Zn 4.278 0.000 3.071
Zn 2.973 -4.009 4.607
Cu 2.973 1.542 1.536
Cu 2.973 -1.542 4.607

- What is the formula in the second record?
  LaZn3Cu

- What is the total magnetic moment in the first record?
  2.7 μB per cell

- Number 2 is which compound?
  LaZn3Cu

- What is the formula in the second record?
  LaZn3Cu